The following is a GGA-PBE calculation of crystalline Er5Si2Hg2 at its relaxed geometry, from Alexandria.

It has space group Cmce (No. 64), with a = 15.746 Å, b = 7.469 Å, c = 7.473 Å, α = 90.00°, β = 90.00° and γ = 90.00°. The asymmetric unit holds Er at (0.000, 0.000, 0.000), Er at (0.127, 0.181, 0.324), Si at (0.000, 0.120, 0.622) and Hg at (0.217, 0.000, 0.000).

The formation energy from raw total energies is -5.48 eV per formula unit. As for the density of states at the Fermi level: 5.87 states/eV/f.u. The total energy is -4.42 eV/atom. The value obtained for the theoretical density is 9.8 Mg/m³.